# SiAgP2 PBE-GGA relaxed
# magnetic moment: 0.00 μB/cell
# space group: P4mm (99)
# uncorrected energy: -18.33 eV for the cell shown
# V: 71.8 Å³/cell
# formation energy from raw total energies: 0.19 eV/atom
data_SiAgP2
_cell_length_a 3.258
_cell_length_b 3.258
_cell_length_c 6.764
_cell_angle_alpha 90.00
_cell_angle_beta 90.00
_cell_angle_gamma 90.00
_symmetry_space_group_name_H-M 'P 1'
_symmetry_Int_Tables_number 1
_symmetry_space_group_name_Hall 'P 1'
loop_
_atom_site_label
_atom_site_fract_x
_atom_site_fract_y
_atom_site_fract_z
Si1 0.000 0.000 0.000
Ag1 0.500 0.500 0.472
P1 0.000 0.000 0.662
P2 0.500 0.500 0.102